The following is a DFT calculation (GGA-PBE) of a geometry-optimized Tb2ErTm2Th2 structure.

The structure in POSCAR format:
```
Tb2ErTm2Th2
1.0
-0.6766 3.2092 -0.9996
-7.4666 -4.2840 -2.8196
0.3772 2.5880 8.0535
Th Tm Tb Er
2 2 2 1
Cartesian
-1.2877 1.8373 0.8900 Th
-6.4784 -0.3241 3.3443 Th
-3.0459 0.4835 3.6140 Tm
-4.7202 1.0297 0.6202 Tm
-2.2861 3.1809 5.8793 Tb
-5.4800 -1.6677 -1.6450 Tb
0.1886 1.2940 4.0267 Er
```

Output
**DFT formation energy**: 1.2 eV per formula unit
**Total DFT energy (no corrections)**: -0.19119 hartree per atom
**Fermi-level density of states**: 11.18 states/eV/f.u.

***

The following is a DFT calculation (GGA-PBE) of a geometry-optimized La2Mn structure.

The structure in POSCAR format:
```
La2Mn
1.0
1.8964 6.3129 -0.5407
-1.8964 6.3129 -0.5407
0.0000 0.9255 7.1049
La Mn
4 2
Cartesian
0.0000 4.0209 1.8955 La
0.0000 8.8340 4.0961 La
0.0000 5.4928 5.2650 La
0.0000 0.7095 0.7765 La
0.0000 12.5917 2.7223 Mn
0.0000 6.7463 2.3114 Mn
```

Output
**DFT formation energy**: 0.5 eV per formula unit
**Total DFT energy (no corrections)**: -0.22657 hartree per atom
**Fermi-level density of states**: 3.34 states/eV/f.u.

***

The following is a DFT calculation (GGA-PBE) of a geometry-optimized Cu2SiRh structure.

The structure in POSCAR format:
```
Cu2SiRh
1.0
3.4217 -2.2326 0.7856
1.6652 0.0171 3.8127
-0.2364 -3.3984 2.3885
Si Cu Rh
1 2 1
Cartesian
0.0000 0.0000 0.0000 Si
1.2126 -1.4035 1.7467 Cu
3.6379 -4.2105 5.2401 Cu
2.4253 -2.8070 3.4934 Rh
```

Output
**Formation energy from raw total energies**: -0.0209 eV per atom
**Total DFT energy (no corrections)**: -0.19340 hartree per atom
**Fermi-level density of states**: 2.10 states/eV/f.u.

***

The following is a DFT calculation (GGA-PBE) of a geometry-optimized HfZr2Zn structure.

The structure in POSCAR format:
```
HfZr2Zn
1.0
-2.9216 -1.1821 -0.6887
-1.4508 -2.0160 2.0588
-5.5176 6.3846 4.8916
Zn Zr Hf
1 2 1
Cartesian
-2.9158 -2.1305 0.9143 Zn
-2.4218 0.7036 1.5100 Zr
-4.5493 4.6078 3.8340 Zr
-4.9480 1.5988 3.1341 Hf
```

Output
**DFT formation energy**: -0.1 eV per formula unit
**Total DFT energy (no corrections)**: -0.26155 hartree per atom
**Fermi-level density of states**: 2.76 states/eV/f.u.

***

- total DFT energy (no corrections) of number 4 (HfZr2Zn)?
  -0.26155 hartree per atom